one.
# Tm2ThSe PBE-GGA optimized geometry
# * crystal system: trigonal
# * volume: 112.6 Å³/f.u.
data_Tm2ThSe
_cell_length_a 3.6928
_cell_length_b 3.6928
_cell_length_c 28.5945
_cell_angle_alpha 90.00
_cell_angle_beta 90.00
_cell_angle_gamma 120.00
_symmetry_space_group_name_H-M 'R 3 m'
_symmetry_Int_Tables_number 160
_symmetry_space_group_name_Hall 'R 3 -2"'
loop_
_atom_site_label
_atom_site_fract_x
_atom_site_fract_y
_atom_site_fract_z
Tm1 0.0000 0.0000 0.0000
Tm2 0.0000 0.0000 0.2028
Th1 0.0000 0.0000 0.7684
Se1 0.0000 0.0000 0.6014

---

two.
# Tm2ThSe PBE-GGA optimized geometry
# * crystal system: trigonal
# * volume: 117.3 Å³/f.u.
data_Tm2ThSe
_cell_length_a 3.6169
_cell_length_b 3.6169
_cell_length_c 31.0729
_cell_angle_alpha 90.00
_cell_angle_beta 90.00
_cell_angle_gamma 120.00
_symmetry_space_group_name_H-M 'R -3 m'
_symmetry_Int_Tables_number 166
_symmetry_space_group_name_Hall '-R 3 2"'
loop_
_atom_site_label
_atom_site_fract_x
_atom_site_fract_y
_atom_site_fract_z
Tm1 0.0000 0.0000 0.1077
Th1 0.0000 0.0000 0.0000
Se1 0.0000 0.0000 0.5000

---

What should be chosen as the least stable of them? Choose two.